# GGA-PBEsol LiCdHg, optimized geometry
# - VASP energy: -16.34 eV for the cell shown
# - Energy relative to the elements: -118 meV/atom
# - Total moment: 0.001 μB per cell
data_LiCdHg
_symmetry_space_group_name_H-M 'F -4 3 m'
_symmetry_Int_Tables_number 216
_symmetry_space_group_name_Hall 'F -4 2 3'
_cell_length_a 6.528
_cell_length_b 6.528
_cell_length_c 6.528
_cell_angle_alpha 90.00
_cell_angle_beta 90.00
_cell_angle_gamma 90.00
loop_
_atom_site_label
_atom_site_type_symbol
_atom_site_fract_x
_atom_site_fract_y
_atom_site_fract_z
Li1 Li 0.000 0.000 0.000
Cd1 Cd 0.000 0.000 0.500
Hg1 Hg 0.250 0.250 0.750